[1]
VASP calculation (GGA-PBE) on a geometry-optimized Ru2PtRh structure.

Structure (POSCAR):
```
Ru2PtRh
1.0
2.725 0.000 0.000
0.000 3.854 0.000
0.000 0.000 5.480
Pt Ru Rh
1 2 1
Direct
0.000 0.000 0.499 Pt
0.000 0.000 0.007 Ru
0.500 0.500 0.238 Ru
0.500 0.500 0.757 Rh
```

Properties
Space-group type: Pmm2, No. 25
Crystal system: orthorhombic

[2]
VASP calculation (GGA-PBE) on a geometry-optimized RuPt2Rh2 structure.

Structure (POSCAR):
```
RuPt2Rh2
1.0
2.706 -0.019 -0.442
-0.149 3.719 -1.071
-0.199 0.082 7.312
Rh Ru Pt
2 1 2
Direct
0.095 0.095 0.190 Rh
0.905 0.905 0.810 Rh
0.500 0.500 0.000 Ru
0.697 0.697 0.394 Pt
0.303 0.303 0.606 Pt
```

Properties
Space-group type: Immm, No. 71
Crystal system: orthorhombic

[3]
VASP calculation (GGA-PBE) on a geometry-optimized Ru2Pt2Rh7 structure.

Structure (POSCAR):
```
Ru2Pt2Rh7
1.0
5.201 -0.800 0.122
-1.912 4.903 0.122
0.432 0.539 6.968
Ru Rh Pt
2 7 2
Direct
0.720 0.280 0.000 Ru
0.280 0.720 0.000 Ru
0.824 0.824 0.900 Rh
0.000 0.000 0.500 Rh
0.569 0.020 0.673 Rh
0.176 0.176 0.100 Rh
0.020 0.569 0.673 Rh
0.431 0.980 0.327 Rh
0.980 0.431 0.327 Rh
0.583 0.583 0.299 Pt
0.417 0.417 0.701 Pt
```

Properties
Space-group type: C2/m, No. 12
Crystal system: monoclinic

[4]
VASP calculation (GGA-PBE) on a geometry-optimized Ru4PtRh2 structure.

Structure (POSCAR):
```
Ru4PtRh2
1.0
4.802 -1.249 -1.653
-2.638 4.202 -1.653
0.746 1.018 5.077
Ru Pt Rh
4 1 2
Direct
0.305 0.305 0.610 Ru
0.695 0.305 0.000 Ru
0.695 0.695 0.390 Ru
0.305 0.695 0.000 Ru
0.000 0.000 0.000 Pt
0.250 0.750 0.500 Rh
0.750 0.250 0.500 Rh
```

Properties
Space-group type: I4/mmm, No. 139
Crystal system: tetragonal

[5]
VASP calculation (GGA-PBE) on a geometry-optimized Ru5PtRh6 structure.

Structure (POSCAR):
```
Ru5PtRh6
1.0
4.657 -0.020 0.626
0.740 6.005 0.584
-0.024 0.035 6.079
Ru Rh Pt
5 6 1
Direct
0.500 0.827 0.173 Ru
0.000 0.663 0.337 Ru
0.500 0.500 0.500 Ru
0.000 0.337 0.663 Ru
0.500 0.173 0.827 Ru
0.749 0.083 0.421 Rh
0.251 0.579 0.917 Rh
0.749 0.421 0.083 Rh
0.255 0.251 0.251 Rh
0.745 0.749 0.749 Rh
0.251 0.917 0.579 Rh
0.000 0.000 0.000 Pt
```

Properties
Space-group type: C2/m, No. 12
Crystal system: monoclinic

[6]
VASP calculation (GGA-PBE) on a geometry-optimized RuPtRh structure.

Structure (POSCAR):
```
RuPtRh
1.0
4.379 0.000 0.000
-2.189 3.792 0.000
0.000 0.000 2.697
Rh Pt Ru
1 1 1
Direct
0.333 0.667 0.500 Rh
0.000 0.000 0.000 Pt
0.667 0.333 0.500 Ru
```

Properties
Space-group type: P-6m2, No. 187
Crystal system: hexagonal

[7]
VASP calculation (GGA-PBE) on a geometry-optimized RuPt2Rh3 structure.

Structure (POSCAR):
```
RuPt2Rh3
1.0
2.683 0.000 0.000
0.000 9.728 0.000
0.000 0.000 8.082
Ru Pt Rh
2 4 6
Direct
0.000 0.000 0.500 Ru
0.500 0.500 0.000 Ru
0.500 0.770 0.450 Pt
0.000 0.270 0.050 Pt
0.000 0.730 0.950 Pt
0.500 0.230 0.550 Pt
0.500 0.901 0.750 Rh
0.000 0.599 0.250 Rh
0.500 0.099 0.250 Rh
0.500 0.500 0.500 Rh
0.000 0.401 0.750 Rh
0.000 0.000 0.000 Rh
```

Properties
Space-group type: Pnnm, No. 58
Crystal system: orthorhombic

[8]
VASP calculation (GGA-PBE) on a geometry-optimized Ru2PtRh structure.

Structure (POSCAR):
```
Ru2PtRh
1.0
-1.036 -2.477 -0.427
2.300 -0.748 -1.241
2.901 -2.390 6.819
Rh Pt Ru
1 1 2
Direct
0.500 0.500 0.760 Rh
0.000 0.000 0.497 Pt
0.500 0.500 0.240 Ru
0.000 0.000 0.003 Ru
```

Properties
Space-group type: P4mm, No. 99
Crystal system: tetragonal

[9]
VASP calculation (GGA-PBE) on a geometry-optimized RuPtRh2 structure.

Structure (POSCAR):
```
RuPtRh2
1.0
2.746 0.000 -0.009
1.373 2.378 -0.006
0.027 0.006 8.902
Pt Rh Ru
1 2 1
Direct
0.630 0.032 0.950 Pt
0.296 0.699 0.210 Rh
0.297 0.699 0.689 Rh
0.630 0.032 0.450 Ru
```

Properties
Space-group type: P-6m2, No. 187
Crystal system: hexagonal

[10]
VASP calculation (GGA-PBE) on a geometry-optimized RuPtRh2 structure.

Structure (POSCAR):
```
RuPtRh2
1.0
9.056 -0.013 -0.008
8.645 2.697 -0.008
8.645 1.311 2.357
Ru Rh Pt
1 2 1
Direct
0.250 0.250 0.250 Ru
0.504 0.504 0.504 Rh
0.996 0.996 0.996 Rh
0.750 0.750 0.750 Pt
```

Properties
Space-group type: R-3m, No. 166
Crystal system: trigonal

[11]
VASP calculation (GGA-PBE) on a geometry-optimized Ru2PtRh8 structure.

Structure (POSCAR):
```
Ru2PtRh8
1.0
-0.090 1.660 4.356
3.988 -2.646 5.117
6.383 2.587 1.160
Rh Ru Pt
8 2 1
Direct
0.869 0.097 0.231 Rh
0.308 0.423 0.000 Rh
0.131 0.903 0.769 Rh
0.500 0.782 0.435 Rh
0.692 0.577 0.000 Rh
0.131 0.672 0.231 Rh
0.500 0.218 0.565 Rh
0.869 0.328 0.769 Rh
0.000 0.308 0.384 Ru
0.000 0.692 0.616 Ru
0.500 0.000 0.000 Pt
```

Properties
Space-group type: C2/m, No. 12
Crystal system: monoclinic

[12]
VASP calculation (GGA-PBE) on a geometry-optimized Ru3Pt3Rh5 structure.

Structure (POSCAR):
```
Ru3Pt3Rh5
1.0
-0.949 -1.302 -2.127
-0.201 -7.432 4.638
-6.991 5.283 -0.115
Pt Ru Rh
3 3 5
Direct
0.000 0.587 0.000 Pt
0.000 0.413 0.413 Pt
0.000 0.000 0.587 Pt
0.500 0.839 0.000 Ru
0.500 0.161 0.161 Ru
0.500 0.000 0.839 Ru
0.500 0.667 0.333 Rh
0.500 0.333 0.667 Rh
0.500 0.333 0.000 Rh
0.500 0.000 0.333 Rh
0.500 0.667 0.667 Rh
```

Properties
Space-group type: P-62m, No. 189
Crystal system: hexagonal

[13]
VASP calculation (GGA-PBE) on a geometry-optimized RuPtRh2 structure.

Structure (POSCAR):
```
RuPtRh2
1.0
-3.521 -1.805 -2.612
2.778 -3.507 1.568
-1.547 -0.224 2.240
Pt Rh Ru
1 2 1
Direct
0.000 0.500 0.500 Pt
0.000 0.000 0.000 Rh
0.500 0.500 0.000 Rh
0.500 0.000 0.500 Ru
```

Properties
Space-group type: Cmmm, No. 65
Crystal system: orthorhombic

[14]
VASP calculation (GGA-PBE) on a geometry-optimized RuPtRh2 structure.

Structure (POSCAR):
```
RuPtRh2
1.0
4.744 0.003 0.002
3.959 2.614 0.002
0.777 0.233 4.667
Rh Ru Pt
2 1 1
Direct
0.497 0.497 0.507 Rh
0.003 0.003 0.993 Rh
0.750 0.750 0.750 Ru
0.250 0.250 0.250 Pt
```

Properties
Space-group type: C2/m, No. 12
Crystal system: monoclinic

[15]
VASP calculation (GGA-PBE) on a geometry-optimized RuPtRh3 structure.

Structure (POSCAR):
```
RuPtRh3
1.0
-3.035 3.079 -1.567
-3.203 -1.726 2.812
1.295 2.947 3.284
Pt Rh Ru
1 3 1
Direct
0.500 0.500 0.500 Pt
0.500 0.000 0.000 Rh
0.000 0.500 0.000 Rh
0.000 0.000 0.500 Rh
0.000 0.000 0.000 Ru
```

Properties
Space-group type: Pm-3m, No. 221
Crystal system: cubic

[16]
VASP calculation (GGA-PBE) on a geometry-optimized RuPt4Rh2 structure.

Structure (POSCAR):
```
RuPt4Rh2
1.0
6.656 0.014 -0.023
-2.205 6.280 0.023
-2.246 -3.132 5.426
Ru Pt Rh
2 8 4
Direct
0.000 0.000 0.000 Ru
0.750 0.500 0.250 Ru
0.114 0.912 0.368 Pt
0.799 0.254 0.886 Pt
0.632 0.746 0.544 Pt
0.636 0.754 0.049 Pt
0.951 0.588 0.706 Pt
0.294 0.246 0.882 Pt
0.118 0.412 0.364 Pt
0.456 0.088 0.201 Pt
0.492 0.367 0.625 Rh
0.875 0.133 0.508 Rh
0.258 0.633 0.125 Rh
0.375 0.867 0.742 Rh
```

Properties
Space-group type: I-42d, No. 122
Crystal system: tetragonal

[17]
VASP calculation (GGA-PBE) on a geometry-optimized Ru4Pt3Rh2 structure.

Structure (POSCAR):
```
Ru4Pt3Rh2
1.0
-3.268 1.346 -1.535
-0.327 -4.927 -3.633
-4.651 -3.485 2.011
Pt Rh Ru
3 2 4
Direct
0.446 0.667 0.109 Pt
0.000 0.000 0.000 Pt
0.554 0.333 0.891 Pt
0.225 0.331 0.550 Rh
0.775 0.669 0.450 Rh
0.883 0.326 0.234 Ru
0.117 0.674 0.766 Ru
0.674 0.998 0.651 Ru
0.326 0.002 0.349 Ru
```

Properties
Space-group type: C2/m, No. 12
Crystal system: monoclinic

[18]
VASP calculation (GGA-PBE) on a geometry-optimized RuPtRh2 structure.

Structure (POSCAR):
```
RuPtRh2
1.0
-6.926 -1.474 5.722
-4.860 -1.822 7.479
-5.814 0.689 6.972
Rh Pt Ru
2 1 1
Direct
0.248 0.248 0.248 Rh
0.998 0.998 0.998 Rh
0.751 0.751 0.751 Pt
0.503 0.503 0.503 Ru
```

Properties
Space-group type: R3m, No. 160
Crystal system: trigonal

[19]
VASP calculation (GGA-PBE) on a geometry-optimized Ru2Pt3Rh3 structure.

Structure (POSCAR):
```
Ru2Pt3Rh3
1.0
-2.551 2.328 1.738
-2.491 -0.563 -2.905
-5.550 -5.258 3.200
Pt Rh Ru
3 3 2
Direct
0.872 0.372 0.257 Pt
0.000 0.000 0.000 Pt
0.128 0.628 0.743 Pt
0.370 0.870 0.260 Rh
0.630 0.130 0.740 Rh
0.500 0.500 0.000 Rh
0.249 0.249 0.501 Ru
0.751 0.751 0.499 Ru
```

Properties
Space-group type: Immm, No. 71
Crystal system: orthorhombic

[20]
VASP calculation (GGA-PBE) on a geometry-optimized RuPt5Rh6 structure.

Structure (POSCAR):
```
RuPt5Rh6
1.0
-3.038 2.426 0.042
-2.845 -6.685 0.555
3.582 1.265 6.218
Pt Rh Ru
5 6 1
Direct
0.500 0.836 0.164 Pt
0.000 0.665 0.335 Pt
0.000 0.335 0.665 Pt
0.500 0.500 0.500 Pt
0.500 0.164 0.836 Pt
0.248 0.413 0.083 Rh
0.752 0.587 0.917 Rh
0.744 0.244 0.244 Rh
0.256 0.756 0.756 Rh
0.752 0.917 0.587 Rh
0.248 0.083 0.413 Rh
0.000 0.000 0.000 Ru
```

Properties
Space-group type: Immm, No. 71
Crystal system: orthorhombic

[21]
VASP calculation (GGA-PBE) on a geometry-optimized RuPtRh2 structure.

Structure (POSCAR):
```
RuPtRh2
1.0
-2.622 -0.757 0.059
0.213 -0.528 2.670
-2.072 7.300 1.609
Ru Rh Pt
1 2 1
Direct
0.000 0.000 0.493 Ru
0.000 0.000 0.005 Rh
0.500 0.500 0.256 Rh
0.500 0.500 0.746 Pt
```

Properties
Space-group type: P4mm, No. 99
Crystal system: tetragonal

[22]
VASP calculation (GGA-PBE) on a geometry-optimized RuPt3Rh12 structure.

Structure (POSCAR):
```
RuPt3Rh12
1.0
3.861 0.000 0.000
0.000 3.861 0.000
0.000 0.000 15.478
Rh Ru Pt
12 1 3
Direct
0.500 0.500 0.000 Rh
0.500 0.000 0.879 Rh
0.500 0.000 0.121 Rh
0.500 0.500 0.500 Rh
0.500 0.500 0.752 Rh
0.000 0.500 0.625 Rh
0.500 0.500 0.248 Rh
0.000 0.500 0.375 Rh
0.000 0.500 0.121 Rh
0.500 0.000 0.375 Rh
0.500 0.000 0.625 Rh
0.000 0.500 0.879 Rh
0.000 0.000 0.000 Ru
0.000 0.000 0.750 Pt
0.000 0.000 0.500 Pt
0.000 0.000 0.250 Pt
```

Properties
Space-group type: P4/mmm, No. 123
Crystal system: tetragonal

[23]
VASP calculation (GGA-PBE) on a geometry-optimized RuPtRh structure.

Structure (POSCAR):
```
RuPtRh
1.0
-0.623 1.501 3.335
-7.345 -1.363 -0.759
3.094 -7.053 1.689
Pt Rh Ru
4 4 4
Direct
0.883 0.691 0.766 Pt
0.511 0.748 0.021 Pt
0.489 0.252 0.979 Pt
0.117 0.309 0.234 Pt
0.622 0.051 0.244 Rh
0.627 0.573 0.255 Rh
0.378 0.949 0.756 Rh
0.373 0.427 0.745 Rh
0.754 0.367 0.509 Ru
0.754 0.885 0.509 Ru
0.246 0.633 0.491 Ru
0.246 0.115 0.491 Ru
```

Properties
Space-group type: C2/m, No. 12
Crystal system: monoclinic

[24]
VASP calculation (GGA-PBE) on a geometry-optimized RuPt3Rh structure.

Structure (POSCAR):
```
RuPt3Rh
1.0
7.301 0.000 0.000
0.000 6.418 -3.028
0.000 -0.864 7.042
Pt Ru Rh
12 4 4
Direct
0.707 0.909 0.567 Pt
0.207 0.591 0.933 Pt
0.521 0.586 0.724 Pt
0.479 0.414 0.276 Pt
0.536 0.748 0.171 Pt
0.464 0.252 0.829 Pt
0.021 0.914 0.776 Pt
0.979 0.086 0.224 Pt
0.964 0.248 0.671 Pt
0.293 0.091 0.433 Pt
0.036 0.752 0.329 Pt
0.793 0.409 0.067 Pt
0.352 0.820 0.569 Ru
0.648 0.180 0.431 Ru
0.852 0.680 0.931 Ru
0.148 0.320 0.069 Ru
0.174 0.480 0.509 Rh
0.326 0.979 0.009 Rh
0.826 0.521 0.491 Rh
0.674 0.021 0.991 Rh
```

Properties
Space-group type: P2_1/c, No. 14
Crystal system: monoclinic

no.,calculated formation energy (meV/atom),spin magnetization (μB/cell),density of states at the Fermi level (states/eV/cell)
1,6,0.00,4.17
2,-23,0.00,6.04
3,264,0.00,14.78
4,330,0.00,10.94
5,26,0.00,12.86
6,218,0.74,4.83
7,469,0.00,22.63
8,-10,0.00,4.25
9,10,0.00,6.50
10,-7,0.00,6.44
11,304,0.00,15.20
12,484,1.03,16.17
13,29,0.00,5.71
14,-5,0.00,5.19
15,1485,0.00,6.84
16,353,2.37,23.57
17,-14,0.00,8.75
18,35,0.50,6.61
19,-34,0.00,7.76
20,-23,0.00,18.96
21,1,0.00,4.37
22,-16,0.00,21.00
23,465,0.00,16.67
24,174,0.00,29.05